1.
Here is Mo2Pb3 at its PBEsol-relaxed geometry from Alexandria via LeMat-Bulk. Energies are from SCAN. Values from VASP.

Cell and atoms, written as Quantum ESPRESSO input:
```
&SYSTEM
  ibrav = 0, nat = 5, ntyp = 2
/
ATOMIC_SPECIES
Mo 95.94 Mo.upf
Pb 207.20 Pb.upf
CELL_PARAMETERS angstrom
-1.274 -4.663 -0.158
3.347 1.697 -3.050
4.058 -1.236 3.765
ATOMIC_POSITIONS crystal
Mo 0.667 0.333 0.089
Mo 0.333 0.667 0.911
Pb 0.667 0.333 0.605
Pb 0.333 0.667 0.395
Pb 0.000 0.000 0.000
```

- energy of formation (eV per formula unit) = 3.008

---

2.
Here is MoPb3 at its PBEsol-relaxed geometry from Alexandria via LeMat-Bulk. Energies are from SCAN. Values from VASP.

Cell and atoms, written as Quantum ESPRESSO input:
```
&SYSTEM
  ibrav = 0, nat = 4, ntyp = 2
/
ATOMIC_SPECIES
Pb 207.20 Pb.upf
Mo 95.94 Mo.upf
CELL_PARAMETERS angstrom
3.304 0.000 0.000
-1.652 2.861 0.000
0.000 0.000 10.331
ATOMIC_POSITIONS crystal
Pb 0.333 0.667 0.212
Pb 0.333 0.667 0.788
Pb 0.000 0.000 0.500
Mo 0.000 0.000 0.000
```

- energy of formation (eV per formula unit) = 2.184
- energy above the most stable polymorph in this dataset (eV per atom) = 0.0747

---

3.
Here is MoPb3 at its PBEsol-relaxed geometry from Alexandria via LeMat-Bulk. Energies are from SCAN. Values from VASP.

Cell and atoms, written as Quantum ESPRESSO input:
```
&SYSTEM
  ibrav = 0, nat = 4, ntyp = 2
/
ATOMIC_SPECIES
Mo 95.94 Mo.upf
Pb 207.20 Pb.upf
CELL_PARAMETERS angstrom
5.179 0.000 0.000
2.590 4.485 0.000
2.590 1.495 4.229
ATOMIC_POSITIONS crystal
Mo 0.000 0.000 0.000
Pb 0.500 0.500 0.500
Pb 0.250 0.250 0.250
Pb 0.750 0.750 0.750
```

- energy of formation (eV per formula unit) = 3.073
- energy above the most stable polymorph in this dataset (eV per atom) = 0.2971

---

4.
Here is MoPb3 at its PBEsol-relaxed geometry from Alexandria via LeMat-Bulk. Energies are from SCAN. Values from VASP.

Cell and atoms, written as Quantum ESPRESSO input:
```
&SYSTEM
  ibrav = 0, nat = 4, ntyp = 2
/
ATOMIC_SPECIES
Pb 207.20 Pb.upf
Mo 95.94 Mo.upf
CELL_PARAMETERS angstrom
-1.552 -2.025 -1.876
-2.206 -1.795 3.764
-3.179 6.504 -1.718
ATOMIC_POSITIONS crystal
Pb 0.500 0.500 0.000
Pb 0.315 0.815 0.629
Pb 0.685 0.185 0.371
Mo 0.000 0.000 0.000
```

- energy of formation (eV per formula unit) = 1.885
- energy above the most stable polymorph in this dataset (eV per atom) = 0.0000

---

5.
Here is ReMo2PdPb at its PBEsol-relaxed geometry from Alexandria via LeMat-Bulk. Energies are from SCAN. Values from VASP.

Cell and atoms, written as Quantum ESPRESSO input:
```
&SYSTEM
  ibrav = 0, nat = 5, ntyp = 4
/
ATOMIC_SPECIES
Mo 95.94 Mo.upf
Pb 207.20 Pb.upf
Pd 106.42 Pd.upf
Re 186.21 Re.upf
CELL_PARAMETERS angstrom
-3.517 0.566 3.276
2.862 -1.984 3.416
1.742 4.420 1.107
ATOMIC_POSITIONS crystal
Mo 0.000 0.000 0.500
Mo 0.000 0.500 0.000
Pb 0.000 0.000 0.000
Pd 0.500 0.500 0.500
Re 0.500 0.000 0.000
```

- energy of formation (eV per formula unit) = 14.949

---

6.
Here is Mo2PtPb at its PBEsol-relaxed geometry from Alexandria via LeMat-Bulk. Energies are from SCAN. Values from VASP.

Cell and atoms, written as Quantum ESPRESSO input:
```
&SYSTEM
  ibrav = 0, nat = 4, ntyp = 3
/
ATOMIC_SPECIES
Pt 195.08 Pt.upf
Mo 95.94 Mo.upf
Pb 207.20 Pb.upf
CELL_PARAMETERS angstrom
-1.004 -3.663 -0.829
1.820 0.277 -3.424
3.774 -1.461 1.888
ATOMIC_POSITIONS crystal
Pt 0.000 0.000 0.500
Mo 0.500 0.000 0.000
Mo 0.000 0.500 0.000
Pb 0.500 0.500 0.500
```

- energy of formation (eV per formula unit) = 1.458

---

7.
Here is Mo2PtPb at its PBEsol-relaxed geometry from Alexandria via LeMat-Bulk. Energies are from SCAN. Values from VASP.

Cell and atoms, written as Quantum ESPRESSO input:
```
&SYSTEM
  ibrav = 0, nat = 4, ntyp = 3
/
ATOMIC_SPECIES
Mo 95.94 Mo.upf
Pt 195.08 Pt.upf
Pb 207.20 Pb.upf
CELL_PARAMETERS angstrom
-0.869 1.040 -2.689
2.600 -0.931 -1.200
-3.112 -6.665 -1.572
ATOMIC_POSITIONS crystal
Mo 0.000 0.000 0.273
Mo 0.000 0.000 0.727
Pt 0.500 0.500 0.500
Pb 0.500 0.500 0.000
```

- energy of formation (eV per formula unit) = 1.993

---

8.
Here is MoPtPb2 at its PBEsol-relaxed geometry from Alexandria via LeMat-Bulk. Energies are from SCAN. Values from VASP.

Cell and atoms, written as Quantum ESPRESSO input:
```
&SYSTEM
  ibrav = 0, nat = 4, ntyp = 3
/
ATOMIC_SPECIES
Pb 207.20 Pb.upf
Mo 95.94 Mo.upf
Pt 195.08 Pt.upf
CELL_PARAMETERS angstrom
3.063 0.000 0.000
-1.531 4.610 -0.012
0.000 -1.208 5.594
ATOMIC_POSITIONS crystal
Pb 0.252 0.505 0.248
Pb 0.748 0.495 0.752
Mo 0.500 0.000 0.000
Pt 0.000 0.000 0.500
```

- energy of formation (eV per formula unit) = 2.449

---

9.
Here is MoPt3Pb at its PBEsol-relaxed geometry from Alexandria via LeMat-Bulk. Energies are from SCAN. Values from VASP.

Cell and atoms, written as Quantum ESPRESSO input:
```
&SYSTEM
  ibrav = 0, nat = 5, ntyp = 3
/
ATOMIC_SPECIES
Mo 95.94 Mo.upf
Pt 195.08 Pt.upf
Pb 207.20 Pb.upf
CELL_PARAMETERS angstrom
-3.511 3.385 0.686
-2.944 -3.445 1.929
1.806 0.965 4.479
ATOMIC_POSITIONS crystal
Mo 0.500 0.500 0.500
Pt 0.000 0.000 0.500
Pt 0.500 0.000 0.000
Pt 0.000 0.500 0.000
Pb 0.000 0.000 0.000
```

- energy of formation (eV per formula unit) = 8.484

---

10.
Here is MoPt2Pb2 at its PBEsol-relaxed geometry from Alexandria via LeMat-Bulk. Energies are from SCAN. Values from VASP.

Cell and atoms, written as Quantum ESPRESSO input:
```
&SYSTEM
  ibrav = 0, nat = 5, ntyp = 3
/
ATOMIC_SPECIES
Pt 195.08 Pt.upf
Pb 207.20 Pb.upf
Mo 95.94 Mo.upf
CELL_PARAMETERS angstrom
-1.182 3.962 -0.573
-3.314 -0.633 2.458
5.587 0.047 4.000
ATOMIC_POSITIONS crystal
Pt 0.600 0.600 0.201
Pt 0.400 0.400 0.799
Pb 0.250 0.750 0.500
Pb 0.750 0.250 0.500
Mo 0.000 0.000 0.000
```

- energy of formation (eV per formula unit) = 3.294

---

11.
Here is RbSnMoPb2 at its PBEsol-relaxed geometry from Alexandria via LeMat-Bulk. Energies are from SCAN. Values from VASP.

Cell and atoms, written as Quantum ESPRESSO input:
```
&SYSTEM
  ibrav = 0, nat = 5, ntyp = 4
/
ATOMIC_SPECIES
Pb 207.20 Pb.upf
Sn 118.71 Sn.upf
Mo 95.94 Mo.upf
Rb 85.47 Rb.upf
CELL_PARAMETERS angstrom
-1.317 4.494 1.786
-5.233 -0.499 -2.601
-2.154 -2.548 4.824
ATOMIC_POSITIONS crystal
Pb 0.000 0.500 0.000
Pb 0.000 0.000 0.500
Sn 0.500 0.500 0.500
Mo 0.500 0.000 0.000
Rb 0.000 0.000 0.000
```

- energy of formation (eV per formula unit) = 9.880

---

12.
Here is ReMo3Pb at its PBEsol-relaxed geometry from Alexandria via LeMat-Bulk. Energies are from SCAN. Values from VASP.

Cell and atoms, written as Quantum ESPRESSO input:
```
&SYSTEM
  ibrav = 0, nat = 5, ntyp = 3
/
ATOMIC_SPECIES
Pb 207.20 Pb.upf
Mo 95.94 Mo.upf
Re 186.21 Re.upf
CELL_PARAMETERS angstrom
4.799 0.000 0.000
0.000 4.799 0.000
0.000 0.000 4.799
ATOMIC_POSITIONS crystal
Pb 0.000 0.000 0.000
Mo 0.000 0.000 0.500
Mo 0.500 0.000 0.000
Mo 0.000 0.500 0.000
Re 0.500 0.500 0.500
```

- energy of formation (eV per formula unit) = 16.188